Entry 1:
## Al2AuSe (PBE-GGA)

Data for Al2AuSe after structural relaxation.

Structure (POSCAR):
```
Al2AuSe
1.0
-1.870 -2.800 1.607
2.702 -2.404 -1.045
5.425 -1.536 3.637
Au Al Se
1 2 1
direct
0.000 0.625 0.375 Au
0.000 0.125 0.876 Al
0.500 0.125 0.375 Al
0.500 0.626 0.875 Se
```

Its space group is P2/m. As for the size of the total moment: 0.00 μB/f.u. The value obtained for the formation energy from raw total energies is -1.3 eV per formula unit.

Entry 2:
## Al2AuSe (PBE-GGA)

Data for Al2AuSe after structural relaxation.

Structure (POSCAR):
```
Al2AuSe
1.0
4.763 0.000 0.000
2.382 4.125 0.000
2.382 1.375 3.889
Au Al Se
1 2 1
direct
0.500 0.500 0.500 Au
0.000 0.000 0.000 Al
0.250 0.250 0.250 Al
0.750 0.750 0.750 Se
```

Its space group is F-43m. As for the size of the total moment: 0.00 μB/f.u. The value obtained for the formation energy from raw total energies is 0.8 eV per formula unit.

Entry 3:
## Al2AuSe (PBE-GGA)

Data for Al2AuSe after structural relaxation.

Structure (POSCAR):
```
Al2AuSe
1.0
-2.478 -1.238 2.108
2.465 -2.180 -1.133
4.293 1.710 6.051
Au Al Se
1 2 1
direct
0.500 0.500 0.250 Au
0.000 0.000 0.999 Al
0.000 0.000 0.501 Al
0.500 0.500 0.750 Se
```

Its space group is Cmmm. As for the size of the total moment: 0.00 μB/f.u. The value obtained for the formation energy from raw total energies is -0.4 eV per formula unit.

Entry 4:
## AlAuSe2 (PBE-GGA)

Data for AlAuSe2 after structural relaxation.

Structure (POSCAR):
```
AlAuSe2
1.0
-3.963 5.313 -0.333
-6.533 0.427 -1.085
4.977 -2.682 3.475
Au Al Se
1 1 2
direct
0.250 0.750 0.500 Au
0.750 0.250 0.500 Al
0.898 0.898 0.000 Se
0.602 0.602 0.000 Se
```

Its space group is Immm. As for the size of the total moment: 0.00 μB/f.u. The value obtained for the formation energy from raw total energies is -1.0 eV per formula unit.

Entry 5:
## Al2AuSe (PBE-GGA)

Data for Al2AuSe after structural relaxation.

Structure (POSCAR):
```
Al2AuSe
1.0
-3.586 4.607 5.087
-4.215 1.350 6.355
-1.134 2.967 7.063
Au Al Se
1 2 1
direct
0.511 0.511 0.511 Au
0.006 0.006 0.006 Al
0.248 0.248 0.248 Al
0.735 0.735 0.735 Se
```

Its space group is R3m. As for the size of the total moment: 0.00 μB/f.u. The value obtained for the formation energy from raw total energies is -1.1 eV per formula unit.

Entry 6:
## AlAuSe2 (PBE-GGA)

Data for AlAuSe2 after structural relaxation.

Structure (POSCAR):
```
AlAuSe2
1.0
-1.035 4.379 1.572
-1.414 -0.599 -4.513
-4.730 0.446 -0.409
Au Al Se
1 1 2
direct
0.500 0.500 0.000 Au
0.000 0.500 0.500 Al
0.000 0.000 0.000 Se
0.500 0.000 0.500 Se
```

Its space group is I4/mmm. As for the size of the total moment: 0.00 μB/f.u. The value obtained for the formation energy from raw total energies is -0.3 eV per formula unit.

Entry 7:
## AlAuSe2 (PBE-GGA)

Data for AlAuSe2 after structural relaxation.

Structure (POSCAR):
```
AlAuSe2
1.0
21.293 0.000 3.350
0.000 3.805 0.000
-6.883 0.000 4.669
Au Al Se
4 4 8
direct
0.196 0.750 0.089 Au
0.804 0.250 0.911 Au
0.304 0.250 0.411 Au
0.696 0.750 0.589 Au
0.514 0.250 0.375 Al
0.486 0.750 0.625 Al
0.986 0.750 0.125 Al
0.014 0.250 0.875 Al
0.910 0.750 0.716 Se
0.090 0.250 0.284 Se
0.590 0.250 0.784 Se
0.410 0.750 0.216 Se
0.097 0.250 0.790 Se
0.903 0.750 0.210 Se
0.403 0.750 0.710 Se
0.597 0.250 0.290 Se
```

Its space group is P2_1/m. As for the size of the total moment: 0.00 μB/f.u. The value obtained for the formation energy from raw total energies is -2.1 eV per formula unit.

Entry 8:
## Al2AuSe (PBE-GGA)

Data for Al2AuSe after structural relaxation.

Structure (POSCAR):
```
Al2AuSe
1.0
3.591 0.000 0.000
0.000 2.796 -0.002
0.000 0.006 7.379
Au Al Se
1 2 1
direct
0.500 0.250 0.250 Au
0.000 0.750 0.028 Al
0.000 0.750 0.472 Al
0.500 0.750 0.750 Se
```

Its space group is Pmmm. As for the size of the total moment: 0.00 μB/f.u. The value obtained for the formation energy from raw total energies is -1.1 eV per formula unit.

Entry 9:
## Al2Au2Se (PBE-GGA)

Data for Al2Au2Se after structural relaxation.

Structure (POSCAR):
```
Al2Au2Se
1.0
7.475 0.000 0.000
0.000 7.475 0.000
0.000 0.000 3.285
Au Al Se
4 4 2
direct
0.363 0.863 0.000 Au
0.863 0.637 0.000 Au
0.637 0.137 0.000 Au
0.137 0.363 0.000 Au
0.161 0.661 0.500 Al
0.661 0.839 0.500 Al
0.839 0.339 0.500 Al
0.339 0.161 0.500 Al
0.000 0.000 0.000 Se
0.500 0.500 0.000 Se
```

Its space group is P4/mbm. The energy above the lowest structure with this stoichiometry comes out at 0.069 eV per atom. As for the size of the total moment: 0.00 μB/f.u. The value obtained for the formation energy from raw total energies is -0.5 eV per formula unit.

Entry 10:
## AlAuSe2 (PBE-GGA)

Data for AlAuSe2 after structural relaxation.

Structure (POSCAR):
```
AlAuSe2
1.0
3.696 -2.134 0.000
0.000 4.268 0.000
0.000 0.000 7.058
Au Al Se
1 1 2
direct
0.000 0.000 0.828 Au
0.333 0.667 0.469 Al
0.333 0.667 0.811 Se
0.667 0.333 0.347 Se
```

Its space group is P3m1. As for the size of the total moment: 0.00 μB/f.u. The value obtained for the formation energy from raw total energies is -1.4 eV per formula unit.

Entry 11:
## AlAuSe2 (PBE-GGA)

Data for AlAuSe2 after structural relaxation.

Structure (POSCAR):
```
AlAuSe2
1.0
4.756 -0.738 0.000
0.894 4.729 0.000
-2.825 -1.996 3.347
Au Al Se
1 1 2
direct
0.750 0.250 0.500 Au
0.500 0.500 0.000 Al
0.000 0.000 0.000 Se
0.250 0.750 0.500 Se
```

Its space group is I-4m2. As for the size of the total moment: 0.00 μB/f.u. The value obtained for the formation energy from raw total energies is 1.1 eV per formula unit.

Entry 12:
## AlAuSe2 (PBE-GGA)

Data for AlAuSe2 after structural relaxation.

Structure (POSCAR):
```
AlAuSe2
1.0
10.840 1.229 0.186
2.998 5.455 -0.039
-6.954 -3.294 4.364
Au Al Se
2 2 4
direct
0.119 0.898 0.167 Au
0.619 0.898 0.167 Au
0.869 0.398 0.917 Al
0.369 0.398 0.417 Al
0.621 0.345 0.853 Se
0.119 0.821 0.404 Se
0.617 0.452 0.482 Se
0.119 0.975 0.930 Se
```

Its space group is P-1. As for the size of the total moment: 0.00 μB/f.u. The value obtained for the formation energy from raw total energies is -2.3 eV per formula unit.

Entry 13:
## Al2AuSe (PBE-GGA)

Data for Al2AuSe after structural relaxation.

Structure (POSCAR):
```
Al2AuSe
1.0
-5.698 2.578 -2.055
-3.461 -0.583 -5.569
3.291 -3.035 4.826
Au Al Se
1 2 1
direct
0.500 0.500 0.000 Au
0.000 0.000 0.000 Al
0.250 0.750 0.500 Al
0.750 0.250 0.500 Se
```

Its space group is I-4m2. As for the size of the total moment: 0.00 μB/f.u. The value obtained for the formation energy from raw total energies is -0.4 eV per formula unit.

Entry 14:
## AlSnAu2Se4 (PBE-GGA)

Data for AlSnAu2Se4 after structural relaxation.

Structure (POSCAR):
```
AlSnAu2Se4
1.0
-4.619 2.236 3.217
-2.514 -5.505 0.219
6.565 0.470 3.394
Al Sn Au Se
1 1 2 4
direct
0.736 0.736 0.472 Al
0.986 0.486 0.972 Sn
0.486 0.986 0.972 Au
0.236 0.236 0.472 Au
0.604 0.625 0.700 Se
0.847 0.376 0.244 Se
0.397 0.868 0.244 Se
0.096 0.075 0.700 Se
```

Its space group is I-4. As for the size of the total moment: 0.00 μB/f.u. The value obtained for the formation energy from raw total energies is -2.3 eV per formula unit.

Entry 15:
## YAlAuSe2 (PBE-GGA)

Data for YAlAuSe2 after structural relaxation.

Structure (POSCAR):
```
YAlAuSe2
1.0
-4.161 -2.066 -2.113
3.167 -2.971 -3.333
0.111 -3.756 3.454
Y Au Al Se
1 1 1 2
direct
0.000 0.500 0.000 Y
0.000 0.000 0.000 Au
0.500 0.500 0.500 Al
0.000 0.000 0.500 Se
0.500 0.000 0.000 Se
```

Its space group is P4/mmm. As for the size of the total moment: 0.00 μB/f.u. The value obtained for the formation energy from raw total energies is 1.0 eV per formula unit.

Entry 16:
## ZrAl2AuSe (PBE-GGA)

Data for ZrAl2AuSe after structural relaxation.

Structure (POSCAR):
```
ZrAl2AuSe
1.0
4.710 0.000 0.000
0.000 5.463 0.000
0.000 0.000 4.710
Au Se Zr Al
1 1 1 2
direct
0.000 0.000 0.000 Au
0.000 0.500 0.000 Se
0.500 0.500 0.500 Zr
0.000 0.000 0.500 Al
0.500 0.000 0.000 Al
```

Its space group is P4/mmm. As for the size of the total moment: 1.38 μB/f.u. The value obtained for the formation energy from raw total energies is 2.3 eV per formula unit.

Entry 17:
## Al2SiAu (PBE-GGA)

Data for Al2SiAu after structural relaxation.

Structure (POSCAR):
```
Al2SiAu
1.0
-1.733 1.712 1.658
-2.246 -1.859 -0.428
2.053 -3.904 6.175
Si Au Al
1 1 2
direct
0.500 0.500 0.755 Si
0.000 0.000 0.496 Au
0.000 0.000 0.995 Al
0.500 0.500 0.253 Al
```

Its space group is P4mm. As for the size of the total moment: 0.00 μB/f.u. The value obtained for the formation energy from raw total energies is 0.2 eV per formula unit.

Entry 18:
## AlSiAu2 (PBE-GGA)

Data for AlSiAu2 after structural relaxation.

Structure (POSCAR):
```
AlSiAu2
1.0
4.270 -0.039 0.021
3.077 2.961 0.021
1.184 0.471 5.466
Si Au Al
1 2 1
direct
0.250 0.250 0.250 Si
0.002 0.002 0.003 Au
0.498 0.498 0.497 Au
0.750 0.750 0.750 Al
```

Its space group is C2/m. The energy above the lowest structure with this stoichiometry comes out at 0.014 eV per atom. As for the size of the total moment: 0.00 μB/f.u. The value obtained for the formation energy from raw total energies is -0.3 eV per formula unit.

Entry 19:
## AlSi2Au2 (PBE-GGA)

Data for AlSi2Au2 after structural relaxation.

Structure (POSCAR):
```
AlSi2Au2
1.0
3.405 0.000 0.000
0.000 3.405 0.000
1.703 1.703 7.567
Si Au Al
2 2 1
direct
0.750 0.250 0.500 Si
0.250 0.750 0.500 Si
0.406 0.406 0.188 Au
0.594 0.594 0.812 Au
0.000 0.000 0.000 Al
```

Its space group is I4/mmm. As for the size of the total moment: 0.00 μB/f.u. The value obtained for the formation energy from raw total energies is 0.6 eV per formula unit.

Entry 20:
## AlSiAu2 (PBE-GGA)

Data for AlSiAu2 after structural relaxation.

Structure (POSCAR):
```
AlSiAu2
1.0
-2.164 -1.176 1.441
1.959 -0.183 2.793
-2.184 6.414 1.952
Si Au Al
1 2 1
direct
0.500 0.500 0.250 Si
0.000 0.000 0.987 Au
0.000 0.000 0.513 Au
0.500 0.500 0.750 Al
```

Its space group is Pmmm. The energy above the lowest structure with this stoichiometry comes out at 0.111 eV per atom. As for the size of the total moment: 0.00 μB/f.u. The value obtained for the formation energy from raw total energies is 0.1 eV per formula unit.

Entry 21:
## AlSiAu4 (PBE-GGA)

Data for AlSiAu4 after structural relaxation.

Structure (POSCAR):
```
AlSiAu4
1.0
0.000 3.880 3.880
3.880 0.000 3.880
3.880 3.880 0.000
Al Si Au
1 1 4
direct
0.000 0.000 0.000 Al
0.750 0.750 0.750 Si
0.875 0.375 0.375 Au
0.375 0.375 0.875 Au
0.375 0.875 0.375 Au
0.375 0.375 0.375 Au
```

Its space group is F-43m. As for the size of the total moment: 0.00 μB/f.u. The value obtained for the formation energy from raw total energies is 1.8 eV per formula unit.

Entry 22:
## Al2SiAu (PBE-GGA)

Data for Al2SiAu after structural relaxation.

Structure (POSCAR):
```
Al2SiAu
1.0
3.254 0.000 0.000
0.000 2.844 -0.042
0.000 1.962 7.127
Si Au Al
1 1 2
direct
0.500 0.750 0.750 Si
0.500 0.250 0.250 Au
0.000 0.980 0.995 Al
0.000 0.520 0.505 Al
```

Its space group is P2/m. As for the size of the total moment: 0.00 μB/f.u. The value obtained for the formation energy from raw total energies is 0.0 eV per formula unit.

Entry 23:
## AlSiAu2 (PBE-GGA)

Data for AlSiAu2 after structural relaxation.

Structure (POSCAR):
```
AlSiAu2
1.0
-3.334 -2.034 2.486
-3.240 -2.543 -2.115
-0.028 -4.602 0.509
Si Au Al
1 2 1
direct
0.750 0.750 0.750 Si
0.000 0.000 0.000 Au
0.250 0.250 0.250 Au
0.500 0.500 0.500 Al
```

Its space group is F-43m. The energy above the lowest structure with this stoichiometry comes out at 0.271 eV per atom. As for the size of the total moment: 0.00 μB/f.u. The value obtained for the formation energy from raw total energies is 0.7 eV per formula unit.

Entry 24:
## Al2SiAu (PBE-GGA)

Data for Al2SiAu after structural relaxation.

Structure (POSCAR):
```
Al2SiAu
1.0
7.981 -0.028 -0.017
7.345 3.122 -0.017
7.345 1.483 2.748
Si Au Al
1 1 2
direct
0.750 0.750 0.750 Si
0.499 0.499 0.499 Au
0.004 0.004 0.004 Al
0.247 0.247 0.247 Al
```

Its space group is R3m. As for the size of the total moment: 0.00 μB/f.u. The value obtained for the formation energy from raw total energies is 0.1 eV per formula unit.

Entry 25:
## AlSiAu2 (PBE-GGA)

Data for AlSiAu2 after structural relaxation.

Structure (POSCAR):
```
AlSiAu2
1.0
-3.867 3.546 -0.759
-2.914 -1.035 -3.397
1.070 -0.556 5.473
Si Au Al
1 2 1
direct
0.440 0.571 0.998 Si
0.980 0.059 0.000 Au
0.767 0.176 0.500 Au
0.313 0.694 0.501 Al
```

Its space group is P1. The energy above the lowest structure with this stoichiometry comes out at 0.054 eV per atom. As for the size of the total moment: 0.00 μB/f.u. The value obtained for the formation energy from raw total energies is -0.1 eV per formula unit.

Entry 26:
## Al2SiAu (PBE-GGA)

Data for Al2SiAu after structural relaxation.

Structure (POSCAR):
```
Al2SiAu
1.0
-0.696 2.736 0.784
0.005 -0.902 2.787
7.317 1.706 0.541
Si Au Al
1 1 2
direct
0.500 0.500 0.750 Si
0.500 0.500 0.250 Au
0.000 0.000 0.997 Al
0.000 0.000 0.503 Al
```

Its space group is Cmmm. As for the size of the total moment: 0.00 μB/f.u. The value obtained for the formation energy from raw total energies is -0.1 eV per formula unit.

Entry 27:
## AlSiAu2 (PBE-GGA)

Data for AlSiAu2 after structural relaxation.

Structure (POSCAR):
```
AlSiAu2
1.0
4.263 0.000 0.000
0.000 4.263 0.000
2.132 2.132 8.224
Si Au Al
2 4 2
direct
0.000 0.000 0.000 Si
0.750 0.250 0.500 Si
0.637 0.125 0.250 Au
0.113 0.625 0.250 Au
0.375 0.363 0.750 Au
0.875 0.887 0.750 Au
0.500 0.500 0.000 Al
0.250 0.750 0.500 Al
```

Its space group is I-42d. The energy above the lowest structure with this stoichiometry comes out at 0.003 eV per atom. As for the size of the total moment: 0.00 μB/f.u. The value obtained for the formation energy from raw total energies is -0.3 eV per formula unit.

Entry 28:
## Al2SiAu (PBE-GGA)

Data for Al2SiAu after structural relaxation.

Structure (POSCAR):
```
Al2SiAu
1.0
4.820 0.013 -0.027
1.199 4.668 0.027
-2.786 -2.628 2.926
Si Au Al
1 1 2
direct
0.250 0.750 0.500 Si
0.750 0.250 0.500 Au
0.005 0.005 0.000 Al
0.495 0.495 0.000 Al
```

Its space group is Immm. As for the size of the total moment: 0.00 μB/f.u. The value obtained for the formation energy from raw total energies is 0.1 eV per formula unit.